Entry 1:
This record from Alexandria describes Rb2Na2CdHg after structural relaxation. The functional is PBE.

The total energy is -1.029 eV/atom. For the formation energy, the calculation gives -0.38 eV per formula unit. As for the crystal system: orthorhombic.

The structure belongs to space group Ibam (No. 72); the cell edges are 7.933, 17.238 and 7.952 Å and the angles 90.00°, 90.00° and 90.00°. The inequivalent atoms are Rb at (0.247, 0.158, 0.000), Na at (0.245, 0.089, 0.500), Cd at (0.000, 0.500, 0.250) and Hg at (0.000, 0.000, 0.250).



Entry 2:
This record from Alexandria describes RbNaCdHg2 after structural relaxation. The functional is PBE.

Its energy above the most stable polymorph in this dataset is 110 meV per atom. The total energy is -0.835 eV/atom. For the formation energy, the calculation gives -0.37 eV per formula unit. As for the crystal system: tetragonal.

The structure belongs to space group P4/mmm (No. 123); the cell edges are 5.801, 5.801 and 5.785 Å and the angles 90.00°, 90.00° and 90.00°. The inequivalent atoms are Rb at (0.000, 0.000, 0.000), Na at (0.500, 0.500, 0.000), Cd at (0.500, 0.500, 0.500) and Hg at (0.000, 0.500, 0.500).



Entry 3:
This record from Alexandria describes RbNaCdHg3 after structural relaxation. The functional is PBE.

The total energy is -0.800 eV/atom. For the formation energy, the calculation gives -0.69 eV per formula unit. As for the crystal system: orthorhombic.

The structure belongs to space group Cmcm (No. 63); the cell edges are 7.407, 14.873 and 7.197 Å and the angles 90.00°, 90.00° and 90.00°. The inequivalent atoms are Rb at (0.000, 0.198, 0.250), Na at (0.000, 0.429, 0.250), Cd at (0.000, 0.142, 0.750), Hg at (0.000, 0.352, 0.750) and Hg at (0.208, 0.000, 0.000).